Record 1
La5Cd | SCAN | PBEsol geometry

The value obtained for the raw total energy is -41.09 eV per atom. The value obtained for the energy above the most stable polymorph in this dataset is 41 meV/atom. As for the formation energy: -0.096 eV/atom. Its crystal system is orthorhombic.

The space group is Amm2 (No. 38) and the conventional cell measures 5.811, 3.659 and 17.882 Å, with angles of 90.00, 90.00 and 90.00 degrees. The distinct sites, in fractional coordinates, are La at (0.000, 0.000, 0.000), La at (0.000, 0.000, 0.314), La at (0.500, 0.000, 0.183), La at (0.500, 0.000, 0.527), La at (0.500, 0.000, 0.852) and Cd at (0.000, 0.000, 0.654).

Record 2
La5Cd | SCAN | PBEsol geometry

The value obtained for the raw total energy is -41.09 eV per atom. The value obtained for the energy above the most stable polymorph in this dataset is 31 meV/atom. As for the formation energy: -0.105 eV/atom. Its crystal system is hexagonal.

The space group is P-62m (No. 189) and the conventional cell measures 6.1191, 6.1191 and 5.7267 Å, with angles of 90.00, 90.00 and 120.00 degrees. The distinct sites, in fractional coordinates, are La at (0.0000, 0.6868, 0.0000), La at (0.3333, 0.6667, 0.5000) and Cd at (0.0000, 0.0000, 0.5000).

Record 3
La4Cd | SCAN | PBEsol geometry

The value obtained for the raw total energy is -40.72 eV per atom. As for the formation energy: -0.151 eV/atom. Its crystal system is tetragonal.

The space group is I4/m (No. 87) and the conventional cell measures 7.907, 7.907 and 4.906 Å, with angles of 90.00, 90.00 and 90.00 degrees. The distinct sites, in fractional coordinates, are La at (0.111, 0.700, 0.000) and Cd at (0.000, 0.000, 0.500).

Record 4
La3Cd | SCAN | PBEsol geometry

The value obtained for the raw total energy is -40.13 eV per atom. As for the formation energy: -0.202 eV/atom. Its crystal system is orthorhombic.

The space group is Immm (No. 71) and the conventional cell measures 3.827, 5.679 and 11.472 Å, with angles of 90.00, 90.00 and 90.00 degrees. The distinct sites, in fractional coordinates, are La at (0.000, 0.000, 0.000), La at (0.000, 0.500, 0.232) and Cd at (0.000, 0.000, 0.500).

Record 5
LaCd3 | SCAN | PBEsol geometry

The value obtained for the raw total energy is -33.67 eV per atom. As for the formation energy: -0.087 eV/atom. Its crystal system is trigonal.

The space group is R-3m (No. 166, hexagonal axes) and the conventional cell measures 10.5987, 10.5987 and 3.0590 Å, with angles of 90.00, 90.00 and 120.00 degrees. The distinct sites, in fractional coordinates, are La at (0.0000, 0.0000, 0.0000) and Cd at (0.0000, 0.5000, 0.0000).

Record 6
LaCd4 | SCAN | PBEsol geometry

The value obtained for the raw total energy is -33.29 eV per atom. As for the formation energy: -0.340 eV/atom. Its crystal system is tetragonal.

The space group is I4/mmm (No. 139) and the conventional cell measures 4.441, 4.441 and 12.446 Å, with angles of 90.00, 90.00 and 90.00 degrees. The distinct sites, in fractional coordinates, are La at (0.000, 0.000, 0.000), Cd at (0.000, 0.000, 0.391) and Cd at (0.000, 0.500, 0.250).

Record 7
LaCd | SCAN | PBEsol geometry

The value obtained for the raw total energy is -37.11 eV per atom. As for the formation energy: -0.347 eV/atom. Its crystal system is orthorhombic.

The space group is Pbcm (No. 57) and the conventional cell measures 11.309, 9.366 and 6.555 Å, with angles of 90.00, 90.00 and 90.00 degrees. The distinct sites, in fractional coordinates, are La at (0.121, 0.250, 0.000), La at (0.186, 0.641, 0.250), La at (0.368, 0.046, 0.250), Cd at (0.072, 0.545, 0.750), Cd at (0.376, 0.110, 0.750) and Cd at (0.432, 0.750, 0.000).

Record 8
La3Cd | SCAN | PBEsol geometry

The value obtained for the raw total energy is -40.13 eV per atom. As for the formation energy: -0.195 eV/atom. Its crystal system is tetragonal.

The space group is I4/mmm (No. 139) and the conventional cell measures 4.882, 4.882 and 10.069 Å, with angles of 90.00, 90.00 and 90.00 degrees. The distinct sites, in fractional coordinates, are La at (0.000, 0.000, 0.000), La at (0.000, 0.500, 0.250) and Cd at (0.000, 0.000, 0.500).

Record 9
La2Cd | SCAN | PBEsol geometry

The value obtained for the raw total energy is -39.16 eV per atom. As for the formation energy: -0.285 eV/atom. Its crystal system is tetragonal.

The space group is I4/mmm (No. 139) and the conventional cell measures 3.905, 3.905 and 11.877 Å, with angles of 90.00, 90.00 and 90.00 degrees. The distinct sites, in fractional coordinates, are La at (0.000, 0.000, 0.155) and Cd at (0.000, 0.000, 0.500).

Record 10
La5Cd4 | SCAN | PBEsol geometry

The value obtained for the raw total energy is -37.77 eV per atom. As for the formation energy: -0.303 eV/atom. Its crystal system is hexagonal.

The space group is P6_3/mcm (No. 193) and the conventional cell measures 9.5812, 9.5812 and 6.7453 Å, with angles of 90.00, 90.00 and 120.00 degrees. The distinct sites, in fractional coordinates, are La at (0.0000, 0.2994, 0.2500), La at (0.3333, 0.6667, 0.0000), Cd at (0.0000, 0.0000, 0.0000) and Cd at (0.0000, 0.3632, 0.7500).

Record 11
La5Cd | SCAN | PBEsol geometry

The value obtained for the raw total energy is -41.13 eV per atom. The value obtained for the energy above the most stable polymorph in this dataset is 0 meV/atom. As for the formation energy: -0.136 eV/atom. Its crystal system is monoclinic.

The space group is Cm (No. 8) and the conventional cell measures 12.352, 3.750 and 8.948 Å, with angles of 90.00, 111.22 and 90.00 degrees. The distinct sites, in fractional coordinates, are La at (0.000, 0.000, 0.000), La at (0.002, 0.000, 0.573), La at (0.168, 0.500, 0.369), La at (0.201, 0.500, 0.876), La at (0.361, 0.000, 0.227) and Cd at (0.324, 0.000, 0.680).

Record 12
LaCd3 | SCAN | PBEsol geometry

The value obtained for the raw total energy is -33.85 eV per atom. As for the formation energy: -0.267 eV/atom. Its crystal system is cubic.

The space group is Pm-3m (No. 221) and the conventional cell measures 4.667, 4.667 and 4.667 Å, with angles of 90.00, 90.00 and 90.00 degrees. The distinct sites, in fractional coordinates, are La at (0.000, 0.000, 0.000) and Cd at (0.000, 0.500, 0.500).

Record 13
LaCd | SCAN | PBEsol geometry

The value obtained for the raw total energy is -37.14 eV per atom. As for the formation energy: -0.379 eV/atom. Its crystal system is monoclinic.

The space group is C2/m (No. 12) and the conventional cell measures 12.077, 3.833 and 5.347 Å, with angles of 90.00, 116.17 and 90.00 degrees. The distinct sites, in fractional coordinates, are La at (0.113, 0.000, 0.364) and Cd at (0.150, 0.500, 0.900).

Record 14
LaCd3 | SCAN | PBEsol geometry

The value obtained for the raw total energy is -33.98 eV per atom. As for the formation energy: -0.389 eV/atom. Its crystal system is cubic.

The space group is Fm-3m (No. 225) and the conventional cell measures 7.266, 7.266 and 7.266 Å, with angles of 90.00, 90.00 and 90.00 degrees. The distinct sites, in fractional coordinates, are La at (0.000, 0.000, 0.000), Cd at (0.000, 0.000, 0.500) and Cd at (0.250, 0.250, 0.250).

Record 15
LaCd | SCAN | PBEsol geometry

The value obtained for the raw total energy is -37.08 eV per atom. As for the formation energy: -0.322 eV/atom. Its crystal system is monoclinic.

The space group is Cm (No. 8) and the conventional cell measures 12.035, 3.778 and 7.577 Å, with angles of 90.00, 109.32 and 90.00 degrees. The distinct sites, in fractional coordinates, are La at (0.000, 0.000, 0.000), La at (0.018, 0.000, 0.466), La at (0.337, 0.000, 0.655), Cd at (0.171, 0.500, 0.835), Cd at (0.198, 0.500, 0.302) and Cd at (0.318, 0.000, 0.134).

Record 16
La3Cd | SCAN | PBEsol geometry

The value obtained for the raw total energy is -40.08 eV per atom. As for the formation energy: -0.151 eV/atom. Its crystal system is tetragonal.

The space group is P4/mmm (No. 123) and the conventional cell measures 5.740, 5.740 and 3.659 Å, with angles of 90.00, 90.00 and 90.00 degrees. The distinct sites, in fractional coordinates, are La at (0.000, 0.000, 0.000), La at (0.000, 0.500, 0.500) and Cd at (0.500, 0.500, 0.000).

Record 17
La3Cd | SCAN | PBEsol geometry

The value obtained for the raw total energy is -40.12 eV per atom. As for the formation energy: -0.187 eV/atom. Its crystal system is orthorhombic.

The space group is Pnma (No. 62) and the conventional cell measures 6.357, 11.188 and 6.884 Å, with angles of 90.00, 90.00 and 90.00 degrees. The distinct sites, in fractional coordinates, are La at (0.027, 0.250, 0.143), La at (0.228, 0.532, 0.406) and Cd at (0.103, 0.250, 0.631).

Record 18
LaCd2 | SCAN | PBEsol geometry

The value obtained for the raw total energy is -35.01 eV per atom. As for the formation energy: -0.362 eV/atom. Its crystal system is orthorhombic.

The space group is Cmcm (No. 63) and the conventional cell measures 4.671, 13.030 and 4.934 Å, with angles of 90.00, 90.00 and 90.00 degrees. The distinct sites, in fractional coordinates, are La at (0.000, 0.084, 0.250), Cd at (0.000, 0.243, 0.750) and Cd at (0.000, 0.393, 0.250).

Record 19
La2Cd | SCAN | PBEsol geometry

The value obtained for the raw total energy is -39.10 eV per atom. As for the formation energy: -0.223 eV/atom. Its crystal system is tetragonal.

The space group is I4_1/amd (No. 141, origin choice 2) and the conventional cell measures 4.856, 4.856 and 29.718 Å, with angles of 90.00, 90.00 and 90.00 degrees. The distinct sites, in fractional coordinates, are La at (0.000, 0.250, 0.122), La at (0.000, 0.250, 0.287) and Cd at (0.000, 0.250, 0.789).

Record 20
LaCd11 | SCAN | PBEsol geometry

The value obtained for the raw total energy is -31.70 eV per atom. As for the formation energy: -0.229 eV/atom. Its crystal system is cubic.

The space group is Pm-3m (No. 221) and the conventional cell measures 9.243, 9.243 and 9.243 Å, with angles of 90.00, 90.00 and 90.00 degrees. The distinct sites, in fractional coordinates, are La at (0.000, 0.000, 0.500), Cd at (0.000, 0.345, 0.345), Cd at (0.157, 0.157, 0.157), Cd at (0.267, 0.267, 0.500) and Cd at (0.500, 0.500, 0.500).

Record 21
La3Cd | SCAN | PBEsol geometry

The value obtained for the raw total energy is -40.08 eV per atom. As for the formation energy: -0.152 eV/atom. Its crystal system is cubic.

The space group is Pm-3n (No. 223) and the conventional cell measures 6.299, 6.299 and 6.299 Å, with angles of 90.00, 90.00 and 90.00 degrees. The distinct sites, in fractional coordinates, are La at (0.000, 0.250, 0.500) and Cd at (0.000, 0.000, 0.000).

Record 22
LaCd3 | SCAN | PBEsol geometry

The value obtained for the raw total energy is -33.86 eV per atom. As for the formation energy: -0.274 eV/atom. Its crystal system is orthorhombic.

The space group is Imma (No. 74) and the conventional cell measures 6.445, 9.636 and 6.541 Å, with angles of 90.00, 90.00 and 90.00 degrees. The distinct sites, in fractional coordinates, are La at (0.000, 0.250, 0.044), Cd at (0.000, 0.250, 0.543) and Cd at (0.250, 0.017, 0.750).

Record 23
La6Cd7 | SCAN | PBEsol geometry

The value obtained for the raw total energy is -36.63 eV per atom. As for the formation energy: -0.354 eV/atom. Its crystal system is trigonal.

The space group is R-3m (No. 166, hexagonal axes) and the conventional cell measures 6.0118, 6.0118 and 33.2696 Å, with angles of 90.00, 90.00 and 120.00 degrees. The distinct sites, in fractional coordinates, are La at (0.0000, 0.0000, 0.0516), La at (0.0000, 0.0000, 0.1521), La at (0.0000, 0.0000, 0.3326), Cd at (0.0000, 0.0000, 0.5000) and Cd at (0.0001, 0.5001, 0.0937).